Below is a geometry-optimized BiAsOsO structure, with properties calculated at the PBE level.

CIF file:
```
data_BiAsOsO
_cell_length_a 4.3540
_cell_length_b 6.4086
_cell_length_c 5.6651
_cell_angle_alpha 90.00
_cell_angle_beta 90.00
_cell_angle_gamma 90.00
_space_group_name_H-M_alt 'P m c 21'
_space_group_IT_number 26
_space_group_name_Hall 'P 2c -2'
loop_
_atom_site_label
_atom_site_fract_x
_atom_site_fract_y
_atom_site_fract_z
_atom_site_occupancy
Bi1 0.0000 0.1906 0.0000 1
As1 0.0000 0.3016 0.4962 1
Os1 0.5000 0.4592 0.5735 1
O1 0.5000 0.2666 0.8612 1
```

Computed properties:
Offset from the most stable computed form (eV/atom): 0.397
Electronic total energy (eV/atom): -6.169
Theoretical density (g/cm3): 10.30

Below is a geometry-optimized RbBOs structure, with properties calculated at the PBE level.

CIF file:
```
data_RbBOs
_cell_length_a 6.0465
_cell_length_b 6.0465
_cell_length_c 6.0465
_cell_angle_alpha 90.00
_cell_angle_beta 90.00
_cell_angle_gamma 90.00
_space_group_name_H-M_alt 'F -4 3 m'
_space_group_IT_number 216
_space_group_name_Hall 'F -4 2 3'
loop_
_atom_site_label
_atom_site_fract_x
_atom_site_fract_y
_atom_site_fract_z
_atom_site_occupancy
Rb1 0.0000 0.0000 0.0000 1
B1 0.0000 0.0000 0.5000 1
Os1 0.2500 0.2500 0.7500 1
```

Computed properties:
Offset from the most stable computed form (eV/atom): 0.000
Electronic total energy (eV/atom): -3.885
Theoretical density (g/cm3): 8.61

Below is a geometry-optimized MgCdSO structure, with properties calculated at the PBE level.

CIF file:
```
data_MgCdSO
_cell_length_a 3.4782
_cell_length_b 13.4004
_cell_length_c 5.9412
_cell_angle_alpha 90.00
_cell_angle_beta 90.00
_cell_angle_gamma 90.00
_space_group_name_H-M_alt 'C m c 21'
_space_group_IT_number 36
_space_group_name_Hall 'C 2c -2'
loop_
_atom_site_label
_atom_site_fract_x
_atom_site_fract_y
_atom_site_fract_z
_atom_site_occupancy
Mg1 0.0000 0.1649 0.0000 1
Cd1 0.0000 0.4350 0.9351 1
S1 0.0000 0.1864 0.5827 1
O1 0.0000 0.4124 0.5606 1
```

Computed properties:
Offset from the most stable computed form (eV/atom): 0.183
Electronic total energy (eV/atom): -4.201
Theoretical density (g/cm3): 4.43

Below is a geometry-optimized LuReBi structure, with properties calculated at the PBE level.

CIF file:
```
data_LuReBi
_cell_length_a 6.6654
_cell_length_b 6.6654
_cell_length_c 6.6654
_cell_angle_alpha 90.00
_cell_angle_beta 90.00
_cell_angle_gamma 90.00
_space_group_name_H-M_alt 'F -4 3 m'
_space_group_IT_number 216
_space_group_name_Hall 'F -4 2 3'
loop_
_atom_site_label
_atom_site_fract_x
_atom_site_fract_y
_atom_site_fract_z
_atom_site_occupancy
Lu1 0.0000 0.0000 0.0000 1
Re1 0.2500 0.2500 0.7500 1
Bi1 0.0000 0.0000 0.5000 1
```

Computed properties:
Offset from the most stable computed form (eV/atom): 0.000
Electronic total energy (eV/atom): -6.587
Theoretical density (g/cm3): 12.79

Below is a geometry-optimized RbEr3F10 structure, with properties calculated at the PBE level.

CIF file:
```
data_RbEr3F10
_cell_length_a 8.0050
_cell_length_b 8.0050
_cell_length_c 13.0621
_cell_angle_alpha 90.00
_cell_angle_beta 90.00
_cell_angle_gamma 120.00
_space_group_name_H-M_alt 'P 63 m c'
_space_group_IT_number 186
_space_group_name_Hall 'P 6c -2c'
loop_
_atom_site_label
_atom_site_fract_x
_atom_site_fract_y
_atom_site_fract_z
_atom_site_occupancy
Rb1 0.0000 0.0000 0.0000 1
Rb2 0.3333 0.6667 0.2607 1
Er1 0.0122 0.5061 0.5152 1
Er2 0.1743 0.3485 0.7545 1
F1 0.0011 0.3354 0.8848 1
F2 0.0385 0.5193 0.6904 1
F3 0.1107 0.2214 0.2210 1
F4 0.1828 0.3656 0.5786 1
F5 0.2212 0.4423 0.0532 1
F6 0.3333 0.6667 0.4696 1
F7 0.3333 0.6667 0.8072 1
```

Computed properties:
Offset from the most stable computed form (eV/atom): 0.000
Electronic total energy (eV/atom): -6.360
Theoretical density (g/cm3): 7.12

Below is a geometry-optimized LiZnCoAg structure, with properties calculated at the PBE level.

CIF file:
```
data_LiZnCoAg
_cell_length_a 5.9804
_cell_length_b 5.9804
_cell_length_c 5.9804
_cell_angle_alpha 90.00
_cell_angle_beta 90.00
_cell_angle_gamma 90.00
_space_group_name_H-M_alt 'F -4 3 m'
_space_group_IT_number 216
_space_group_name_Hall 'F -4 2 3'
loop_
_atom_site_label
_atom_site_fract_x
_atom_site_fract_y
_atom_site_fract_z
_atom_site_occupancy
Li1 0.0000 0.0000 0.0000 1
Zn1 0.0000 0.0000 0.5000 1
Co1 0.2500 0.2500 0.7500 1
Ag1 0.2500 0.2500 0.2500 1
```

Computed properties:
Offset from the most stable computed form (eV/atom): 0.008
Electronic total energy (eV/atom): -3.188
Theoretical density (g/cm3): 7.43

Below is a geometry-optimized SnAsIrO structure, with properties calculated at the PBE level.

CIF file:
```
data_SnAsIrO
_cell_length_a 3.9363
_cell_length_b 3.9363
_cell_length_c 10.1024
_cell_angle_alpha 90.00
_cell_angle_beta 90.00
_cell_angle_gamma 90.00
_space_group_name_H-M_alt 'P 4/n m m'
_space_group_IT_number 129
loop_
_space_group_symop_operation_xyz
'x,y,z'
'-x,-y,-z'
'-y+1/2,x,z'
'y+1/2,-x,-z'
'-x+1/2,-y+1/2,z'
'x+1/2,y+1/2,-z'
'y,-x+1/2,z'
'-y,x+1/2,-z'
'x+1/2,-y,-z'
'-x+1/2,y,z'
'-y,-x,-z'
'y,x,z'
'-x,y+1/2,-z'
'x,-y+1/2,z'
'y+1/2,x+1/2,-z'
'-y+1/2,-x+1/2,z'
loop_
_atom_site_label
_atom_site_fract_x
_atom_site_fract_y
_atom_site_fract_z
_atom_site_occupancy
Sn1 0.2500 0.2500 0.1124 1
As1 0.2500 0.2500 0.6456 1
Ir1 0.2500 0.7500 0.5000 1
O1 0.2500 0.7500 0.0000 1
```

Computed properties:
Offset from the most stable computed form (eV/atom): 0.000
Electronic total energy (eV/atom): -6.345
Theoretical density (g/cm3): 8.53

Below is a geometry-optimized Tb2HoIn3CuAg2 structure, with properties calculated at the PBE level.

CIF file:
```
data_Tb2HoIn3CuAg2
_cell_length_a 3.8825
_cell_length_b 13.5011
_cell_length_c 7.8124
_cell_angle_alpha 90.00
_cell_angle_beta 90.00
_cell_angle_gamma 90.00
_space_group_name_H-M_alt 'A m m 2'
_space_group_IT_number 38
_space_group_name_Hall 'A 2 -2'
loop_
_atom_site_label
_atom_site_fract_x
_atom_site_fract_y
_atom_site_fract_z
_atom_site_occupancy
Tb1 0.0000 0.2010 0.0000 1
Ho1 0.0000 0.0000 0.6026 1
In1 0.5000 0.0000 0.9495 1
In2 0.5000 0.1253 0.3274 1
Cu1 0.0000 0.0000 0.2018 1
Ag1 0.5000 0.1657 0.7008 1
```

Computed properties:
Electronic total energy (eV/atom): -3.926
Theoretical density (g/cm3): 8.97

Below is a geometry-optimized K2HfS3 structure, with properties calculated at the PBE level.

CIF file:
```
data_K2HfS3
_cell_length_a 14.5799
_cell_length_b 3.8251
_cell_length_c 11.3268
_cell_angle_alpha 90.00
_cell_angle_beta 90.00
_cell_angle_gamma 90.00
_space_group_name_H-M_alt 'P n m a'
_space_group_IT_number 62
_space_group_name_Hall '-P 2ac 2n'
loop_
_atom_site_label
_atom_site_fract_x
_atom_site_fract_y
_atom_site_fract_z
_atom_site_occupancy
K1 0.0851 0.2500 0.1191 1
K2 0.2388 0.7500 0.8757 1
Hf1 0.0746 0.2500 0.6271 1
S1 0.0467 0.2500 0.3894 1
S2 0.0744 0.2500 0.8396 1
S3 0.1929 0.7500 0.5975 1
```

Computed properties:
Electronic total energy (eV/atom): -5.543
Theoretical density (g/cm3): 3.71

Below is a geometry-optimized LuAlNO structure, with properties calculated at the PBE level.

CIF file:
```
data_LuAlNO
_cell_length_a 3.7522
_cell_length_b 3.7522
_cell_length_c 8.0937
_cell_angle_alpha 90.00
_cell_angle_beta 90.00
_cell_angle_gamma 90.00
_space_group_name_H-M_alt 'P 4/n m m'
_space_group_IT_number 129
loop_
_space_group_symop_operation_xyz
'x,y,z'
'-x,-y,-z'
'-y+1/2,x,z'
'y+1/2,-x,-z'
'-x+1/2,-y+1/2,z'
'x+1/2,y+1/2,-z'
'y,-x+1/2,z'
'-y,x+1/2,-z'
'x+1/2,-y,-z'
'-x+1/2,y,z'
'-y,-x,-z'
'y,x,z'
'-x,y+1/2,-z'
'x,-y+1/2,z'
'y+1/2,x+1/2,-z'
'-y+1/2,-x+1/2,z'
loop_
_atom_site_label
_atom_site_fract_x
_atom_site_fract_y
_atom_site_fract_z
_atom_site_occupancy
Lu1 0.2500 0.2500 0.1320 1
Al1 0.2500 0.7500 0.5000 1
N1 0.2500 0.2500 0.4294 1
O1 0.2500 0.7500 0.0000 1
```

Computed properties:
Offset from the most stable computed form (eV/atom): 0.085
Electronic total energy (eV/atom): -7.265
Theoretical density (g/cm3): 6.76

Below is a geometry-optimized PmPrPa structure, with properties calculated at the PBE level.

CIF file:
```
data_PmPrPa
_cell_length_a 7.4112
_cell_length_b 7.4112
_cell_length_c 7.4112
_cell_angle_alpha 90.00
_cell_angle_beta 90.00
_cell_angle_gamma 90.00
_space_group_name_H-M_alt 'F -4 3 m'
_space_group_IT_number 216
_space_group_name_Hall 'F -4 2 3'
loop_
_atom_site_label
_atom_site_fract_x
_atom_site_fract_y
_atom_site_fract_z
_atom_site_occupancy
Pm1 0.0000 0.0000 0.0000 1
Pr1 0.2500 0.2500 0.7500 1
Pa1 0.0000 0.0000 0.5000 1
```

Computed properties:
Offset from the most stable computed form (eV/atom): 0.000
Electronic total energy (eV/atom): -5.268
Theoretical density (g/cm3): 8.44

Below is a geometry-optimized In2CuPd2 structure, with properties calculated at the PBE level.

CIF file:
```
data_In2CuPd2
_cell_length_a 4.1154
_cell_length_b 4.1154
_cell_length_c 12.0663
_cell_angle_alpha 90.00
_cell_angle_beta 90.00
_cell_angle_gamma 90.00
_space_group_name_H-M_alt 'I 4/m m m'
_space_group_IT_number 139
_space_group_name_Hall '-I 4 2'
loop_
_atom_site_label
_atom_site_fract_x
_atom_site_fract_y
_atom_site_fract_z
_atom_site_occupancy
In1 0.0000 0.5000 0.2500 1
Cu1 0.0000 0.0000 0.0000 1
Pd1 0.0000 0.0000 0.3952 1
```

Computed properties:
Offset from the most stable computed form (eV/atom): 0.107
Electronic total energy (eV/atom): -3.803
Theoretical density (g/cm3): 8.22

Below is a geometry-optimized ReSnSb structure, with properties calculated at the PBE level.

CIF file:
```
data_ReSnSb
_cell_length_a 6.4833
_cell_length_b 6.4833
_cell_length_c 6.4833
_cell_angle_alpha 90.00
_cell_angle_beta 90.00
_cell_angle_gamma 90.00
_space_group_name_H-M_alt 'F -4 3 m'
_space_group_IT_number 216
_space_group_name_Hall 'F -4 2 3'
loop_
_atom_site_label
_atom_site_fract_x
_atom_site_fract_y
_atom_site_fract_z
_atom_site_occupancy
Re1 0.0000 0.0000 0.0000 1
Sn1 0.2500 0.2500 0.2500 1
Sb1 0.2500 0.2500 0.7500 1
```

Computed properties:
Offset from the most stable computed form (eV/atom): 0.000
Electronic total energy (eV/atom): -6.340
Theoretical density (g/cm3): 10.40

Below is a geometry-optimized GdErTl2Zn2 structure, with properties calculated at the PBE level.

CIF file:
```
data_GdErTl2Zn2
_cell_length_a 4.6848
_cell_length_b 4.6848
_cell_length_c 7.3521
_cell_angle_alpha 90.00
_cell_angle_beta 90.00
_cell_angle_gamma 120.00
_space_group_name_H-M_alt 'P 3 m 1'
_space_group_IT_number 156
_space_group_name_Hall 'P 3 -2"'
loop_
_atom_site_label
_atom_site_fract_x
_atom_site_fract_y
_atom_site_fract_z
_atom_site_occupancy
Gd1 0.0000 0.0000 0.0000 1
Er1 0.0000 0.0000 0.5005 1
Tl1 0.3333 0.6667 0.2833 1
Tl2 0.6667 0.3333 0.7765 1
Zn1 0.3333 0.6667 0.6941 1
Zn2 0.6667 0.3333 0.1993 1
```

Computed properties:
Electronic total energy (eV/atom): -3.085
Theoretical density (g/cm3): 10.27

Below is a geometry-optimized CsNiAuSe3 structure, with properties calculated at the PBE level.

CIF file:
```
data_CsNiAuSe3
_cell_length_a 3.7079
_cell_length_b 16.6246
_cell_length_c 10.5487
_cell_angle_alpha 90.00
_cell_angle_beta 90.00
_cell_angle_gamma 90.00
_space_group_name_H-M_alt 'C m c m'
_space_group_IT_number 63
_space_group_name_Hall '-C 2c 2'
loop_
_atom_site_label
_atom_site_fract_x
_atom_site_fract_y
_atom_site_fract_z
_atom_site_occupancy
Cs1 0.0000 0.2301 0.2500 1
Ni1 0.0000 0.5000 0.0000 1
Au1 0.0000 0.0876 0.7500 1
Se1 0.0000 0.0935 0.5154 1
Se2 0.0000 0.4609 0.7500 1
```

Computed properties:
Electronic total energy (eV/atom): -3.643
Theoretical density (g/cm3): 6.39

Below is a geometry-optimized TcBi2W structure, with properties calculated at the PBE level.

CIF file:
```
data_TcBi2W
_cell_length_a 6.9527
_cell_length_b 6.9527
_cell_length_c 6.9527
_cell_angle_alpha 90.00
_cell_angle_beta 90.00
_cell_angle_gamma 90.00
_space_group_name_H-M_alt 'F -4 3 m'
_space_group_IT_number 216
_space_group_name_Hall 'F -4 2 3'
loop_
_atom_site_label
_atom_site_fract_x
_atom_site_fract_y
_atom_site_fract_z
_atom_site_occupancy
Tc1 0.0000 0.0000 0.0000 1
Bi1 0.0000 0.0000 0.5000 1
Bi2 0.2500 0.2500 0.7500 1
W1 0.2500 0.2500 0.2500 1
```

Computed properties:
Electronic total energy (eV/atom): -6.709
Theoretical density (g/cm3): 13.83

Below is a geometry-optimized TmGeAuSe3 structure, with properties calculated at the PBE level.

CIF file:
```
data_TmGeAuSe3
_cell_length_a 7.9867
_cell_length_b 4.0338
_cell_length_c 9.6797
_cell_angle_alpha 90.00
_cell_angle_beta 107.69
_cell_angle_gamma 90.00
_space_group_name_H-M_alt 'P 1 21/m 1'
_space_group_IT_number 11
_space_group_name_Hall '-P 2yb'
loop_
_atom_site_label
_atom_site_fract_x
_atom_site_fract_y
_atom_site_fract_z
_atom_site_occupancy
Tm1 0.2129 0.2500 0.1726 1
Ge1 0.1609 0.7500 0.7000 1
Au1 0.3689 0.7500 0.4195 1
Se1 0.0720 0.2500 0.8653 1
Se2 0.1718 0.2500 0.4713 1
Se3 0.4555 0.7500 0.1840 1
```

Computed properties:
Offset from the most stable computed form (eV/atom): 0.069
Electronic total energy (eV/atom): -4.565
Theoretical density (g/cm3): 7.55

Below is a geometry-optimized YSi2Ir structure, with properties calculated at the PBE level.

CIF file:
```
data_YSi2Ir
_cell_length_a 6.5386
_cell_length_b 6.5386
_cell_length_c 6.5386
_cell_angle_alpha 90.00
_cell_angle_beta 90.00
_cell_angle_gamma 90.00
_space_group_name_H-M_alt 'F -4 3 m'
_space_group_IT_number 216
_space_group_name_Hall 'F -4 2 3'
loop_
_atom_site_label
_atom_site_fract_x
_atom_site_fract_y
_atom_site_fract_z
_atom_site_occupancy
Y1 0.0000 0.0000 0.0000 1
Si1 0.0000 0.0000 0.5000 1
Si2 0.2500 0.2500 0.7500 1
Ir1 0.2500 0.2500 0.2500 1
```

Computed properties:
Electronic total energy (eV/atom): -6.760
Theoretical density (g/cm3): 8.01

Below is a geometry-optimized Tl3SiPd6 structure, with properties calculated at the PBE level.

CIF file:
```
data_Tl3SiPd6
_cell_length_a 6.9119
_cell_length_b 6.9119
_cell_length_c 9.9231
_cell_angle_alpha 90.00
_cell_angle_beta 90.00
_cell_angle_gamma 90.00
_space_group_name_H-M_alt 'I 4/m m m'
_space_group_IT_number 139
_space_group_name_Hall '-I 4 2'
loop_
_atom_site_label
_atom_site_fract_x
_atom_site_fract_y
_atom_site_fract_z
_atom_site_occupancy
Tl1 0.0000 0.0000 0.0000 1
Tl2 0.0000 0.5000 0.2500 1
Si1 0.0000 0.0000 0.5000 1
Pd1 0.0000 0.0000 0.2714 1
Pd2 0.0000 0.3153 0.5000 1
```

Computed properties:
Electronic total energy (eV/atom): -4.240
Theoretical density (g/cm3): 8.97

Below is a geometry-optimized PaTaSb structure, with properties calculated at the PBE level.

CIF file:
```
data_PaTaSb
_cell_length_a 6.9425
_cell_length_b 6.9425
_cell_length_c 6.9425
_cell_angle_alpha 90.00
_cell_angle_beta 90.00
_cell_angle_gamma 90.00
_space_group_name_H-M_alt 'F -4 3 m'
_space_group_IT_number 216
_space_group_name_Hall 'F -4 2 3'
loop_
_atom_site_label
_atom_site_fract_x
_atom_site_fract_y
_atom_site_fract_z
_atom_site_occupancy
Pa1 0.0000 0.0000 0.0000 1
Ta1 0.2500 0.2500 0.2500 1
Sb1 0.2500 0.2500 0.7500 1
```

Computed properties:
Offset from the most stable computed form (eV/atom): 0.666
Electronic total energy (eV/atom): -7.476
Theoretical density (g/cm3): 10.59